VASP calculation (PBE) on crystalline Y2ReIr at its relaxed geometry.

Unit cell a=3.063 b=4.666 c=5.823 alpha=90.00 beta=90.00 gamma=90.00
Sites, in units of the cell vectors:
Y1 0.000 0.000 0.951
Y2 0.500 0.500 0.299
Ir1 0.000 0.000 0.470
Re1 0.500 0.500 0.780

Values from the calculation:
For the energy relative to the elements, the calculation gives 0.2079 eV/atom.

***

VASP calculation (PBE) on crystalline Y2ReIr at its relaxed geometry.

Unit cell a=5.713 b=5.713 c=5.713 alpha=138.17 beta=138.17 gamma=60.65
Sites, in units of the cell vectors:
Ir1 0.500 0.500 0.000
Y1 0.250 0.750 0.500
Re1 0.750 0.250 0.500
Y2 0.000 0.000 0.000

Values from the calculation:
For the energy relative to the elements, the calculation gives 0.1025 eV/atom.

***

VASP calculation (PBE) on crystalline Y2ReIr at its relaxed geometry.

Unit cell a=4.283 b=4.397 c=5.539 alpha=66.72 beta=90.00 gamma=90.00
Sites, in units of the cell vectors:
Ir1 0.000 0.680 0.515
Y1 0.000 0.976 0.923
Re1 0.500 0.572 0.732
Y2 0.500 0.272 0.330

Values from the calculation:
For the energy relative to the elements, the calculation gives -0.2515 eV/atom.

***

VASP calculation (PBE) on crystalline YReIr2 at its relaxed geometry.

Unit cell a=2.870 b=3.976 c=6.184 alpha=90.00 beta=90.00 gamma=90.00
Sites, in units of the cell vectors:
Ir1 0.500 0.500 0.275
Ir2 0.000 0.000 0.021
Y1 0.500 0.500 0.766
Re1 0.000 0.000 0.438

Values from the calculation:
The relative energy among the computed polymorphs is 227 meV/atom. For the energy relative to the elements, the calculation gives -0.0170 eV/atom.

***

| no. | size of the total moment (μB per formula unit) | theoretical density (g/cm3) |
| --- | --- | --- |
| 1 | 0.00 | 11.10 |
| 2 | 0.00 | 11.26 |
| 3 | 0.00 | 9.64 |
| 4 | 0.00 | 15.52 |